# 1
Here is a relaxed Pr2Sm5Hg4 crystal from the Alexandria database. Energies are from PBE-GGA.

Cell: 3.7495 7.6104 14.5079 Å, 120.65 97.42 90.00°
Closest atoms and distances in Å follow each position.
Positions (direct):
Pr 0.2745 0.7559 0.5489  3 Hg 3.28-3.36, 1 Sm 3.64
Pr 0.7255 0.2441 0.4511  3 Hg 3.28-3.36, 1 Sm 3.64
Sm 0.1038 0.8537 0.2075  4 Hg 3.16-3.21, 1 Sm 3.47
Sm 0.8962 0.1463 0.7925  4 Hg 3.16-3.21, 1 Sm 3.47
Sm 0.1320 0.3549 0.2641  3 Hg 3.15-3.19, 1 Sm 3.47
Sm 0.5000 0.0000 0.0000  4 Hg 3.16
Sm 0.8680 0.6451 0.7359  3 Hg 3.15-3.19, 1 Sm 3.47
Hg 0.6768 0.7488 0.3535  4 Sm 3.19-3.21, 3 Pr 3.28-3.36
Hg 0.9749 0.6276 0.9499  1 Hg 2.96, 5 Sm 3.15-3.18
Hg 0.3232 0.2512 0.6465  4 Sm 3.19-3.21, 3 Pr 3.28-3.36
Hg 0.0251 0.3724 0.0501  1 Hg 2.96, 5 Sm 3.15-3.18

Properties
DOS(E_F): 12.18 states/eV per cell
VASP energy: -36.40 eV/cell
ΔH_f (0 K): -185 meV per atom

---

# 2
Here is a relaxed PrSm3Hg3 crystal from the Alexandria database. Energies are from PBE-GGA.

Cell: 5.2088 9.5407 9.5407 Å, 120.00 90.00 90.00°
Closest atoms and distances in Å follow each position.
Positions (direct):
Pr 0.2500 0.6667 0.3333  9 Hg 3.34-3.54, 3 Sm 3.73
Pr 0.7500 0.3333 0.6667  9 Hg 3.34-3.54, 3 Sm 3.73
Sm 0.7500 0.7605 0.7535  4 Hg 3.13-3.28, 4 Sm 3.49
Sm 0.7500 0.2465 0.0070  4 Hg 3.13-3.28, 4 Sm 3.49
Sm 0.7500 0.9930 0.2395  4 Hg 3.13-3.28, 4 Sm 3.49
Sm 0.2500 0.2395 0.2465  4 Hg 3.13-3.28, 4 Sm 3.49
Sm 0.2500 0.7535 0.9930  4 Hg 3.13-3.28, 4 Sm 3.49
Sm 0.2500 0.0070 0.7605  4 Hg 3.13-3.28, 4 Sm 3.49
Hg 0.2500 0.5539 0.6133  4 Sm 3.13-3.28, 2 Hg 3.21, 1 Pr 3.34
Hg 0.2500 0.3867 0.9406  4 Sm 3.13-3.28, 2 Hg 3.21, 1 Pr 3.34
Hg 0.2500 0.0594 0.4461  4 Sm 3.13-3.28, 2 Hg 3.21, 1 Pr 3.34
Hg 0.7500 0.4461 0.3867  4 Sm 3.13-3.28, 2 Hg 3.21, 1 Pr 3.34
Hg 0.7500 0.6133 0.0594  4 Sm 3.13-3.28, 2 Hg 3.21, 1 Pr 3.34
Hg 0.7500 0.9406 0.5539  4 Sm 3.13-3.28, 2 Hg 3.21, 1 Pr 3.34

Properties
DOS(E_F): 18.50 states/eV per cell
VASP energy: -44.04 eV/cell
ΔH_f (0 K): -311 meV per atom

---

# 3
Here is a relaxed Pr5Sm4Hg crystal from the Alexandria database. Energies are from PBE-GGA.

Cell: 3.7105 3.7105 24.6279 Å, 90.00 90.00 90.00°
Closest atoms and distances in Å follow each position.
Positions (direct):
Pr 0.5000 0.5000 0.0840  4 Hg 3.34, 4 Sm 3.67, 4 Pr 3.71
Pr 0.5000 0.5000 0.2919  8 Sm 3.66-3.67, 4 Pr 3.71
Pr 0.5000 0.5000 0.5000  8 Sm 3.66, 4 Pr 3.71
Pr 0.5000 0.5000 0.7081  8 Sm 3.66-3.67, 4 Pr 3.71
Pr 0.5000 0.5000 0.9160  4 Hg 3.34, 4 Sm 3.67, 4 Pr 3.71
Sm 0.0000 0.0000 0.1882  8 Pr 3.66-3.67, 4 Sm 3.71
Sm 0.0000 0.0000 0.3961  8 Pr 3.66-3.67, 4 Sm 3.71
Sm 0.0000 0.0000 0.6039  8 Pr 3.66-3.67, 4 Sm 3.71
Sm 0.0000 0.0000 0.8118  8 Pr 3.66-3.67, 4 Sm 3.71
Hg 0.0000 0.0000 0.0000  8 Pr 3.34, 4 Hg 3.71

Properties
DOS(E_F): 13.12 states/eV per cell
VASP energy: -43.88 eV/cell
ΔH_f (0 K): -81 meV per atom

---

# 4
Here is a relaxed Pr2Sm2Hg crystal from the Alexandria database. Energies are from PBE-GGA.

Cell: 8.5986 6.4501 9.2509 Å, 68.78 57.11 48.20°
Closest atoms and distances in Å follow each position.
Positions (direct):
Pr 0.6741 0.3764 0.7186  2 Hg 3.13-3.40, 1 Pr 3.40, 1 Sm 3.45
Pr 0.3259 0.6236 0.2814  2 Hg 3.13-3.40, 1 Pr 3.40, 1 Sm 3.45
Pr 0.0505 0.6236 0.7186  2 Hg 3.13-3.40, 1 Pr 3.40, 1 Sm 3.45
Pr 0.9495 0.3764 0.2814  2 Hg 3.13-3.40, 1 Pr 3.40, 1 Sm 3.45
Sm 0.7298 0.0000 0.4256  3 Sm 3.41-3.62, 4 Pr 3.50-3.54, 2 Hg 3.66
Sm 0.6058 0.0000 0.1142  4 Hg 3.33-3.69, 4 Pr 3.45-3.57, 3 Sm 3.46-3.62
Sm 0.3942 0.0000 0.8858  4 Hg 3.33-3.69, 4 Pr 3.45-3.57, 3 Sm 3.46-3.62
Sm 0.2702 0.0000 0.5744  3 Sm 3.41-3.62, 4 Pr 3.50-3.54, 2 Hg 3.66
Hg 0.1611 0.6778 0.0000  1 Hg 3.10, 4 Pr 3.13-3.40, 2 Sm 3.33
Hg 0.8389 0.3222 0.0000  1 Hg 3.10, 4 Pr 3.13-3.40, 2 Sm 3.33

Properties
E above lowest polymorph: 95 meV per atom
DOS(E_F): 11.49 states/eV per cell
VASP energy: -39.47 eV/cell
ΔH_f (0 K): -87 meV per atom